(1)
Computed, not measured: a relaxed CaAc2Ce2Rh5 crystal at the PBE level of DFT.

Summary:
- Mass density: 9.2 g cm⁻³
- DOS at the Fermi energy: 12.5 states/eV per cell
- Raw total energy: -126.76 eV for the cell shown
- Energy relative to the elements: -454 meV per atom
- Total magnetization: 0.0 μB/f.u.

a = 3.6362 Å, b = 11.3382 Å, c = 11.3382 Å
α = 90.00°, β = 90.00°, γ = 90.00°
Positions (direct):
Ca 0.0000 0.0000 0.0000
Ca 0.0000 0.5000 0.5000
Ac 0.0000 0.6711 0.1711
Ac 0.0000 0.3289 0.8289
Ac 0.0000 0.1711 0.3289
Ac 0.0000 0.8289 0.6711
Ce 0.0000 0.1369 0.6369
Ce 0.0000 0.8631 0.3631
Ce 0.0000 0.6369 0.8631
Ce 0.0000 0.3631 0.1369
Rh 0.5000 0.2111 0.0497
Rh 0.5000 0.7889 0.9503
Rh 0.5000 0.0497 0.7889
Rh 0.5000 0.7111 0.4503
Rh 0.5000 0.9503 0.2111
Rh 0.5000 0.2889 0.5497
Rh 0.5000 0.5497 0.7111
Rh 0.5000 0.4503 0.2889
Rh 0.5000 0.5000 0.0000
Rh 0.5000 0.0000 0.5000

***

(2)
Computed, not measured: a relaxed LiMoSe3 crystal at the PBE level of DFT.

Summary:
- Mass density: 4.5 g cm⁻³
- DOS at the Fermi energy: 4.0 states/eV per cell
- Raw formation energy: -0.15 eV/atom
- Raw total energy: -23.94 eV for the cell shown
- Total magnetization: 0.0 μB/f.u.
- Energy above the lowest structure with this stoichiometry: 0 meV/atom

a = 4.9925 Å, b = 4.9925 Å, c = 4.9925 Å
α = 90.00°, β = 90.00°, γ = 90.00°
Positions (direct):
Mo 0.0000 0.0000 0.0000
Se 0.0000 0.5000 0.0000
Se 0.0000 0.0000 0.5000
Se 0.5000 0.0000 0.0000
Li 0.5000 0.5000 0.5000